Density functional theory data (GGA-PBE) for a relaxed structure of CdHg2Pt.

* E_form: -0.01 eV per atom
* Fermi-level density of states: 0.299 states/eV/atom

Cell and atoms, written as CIF:
```
data_CdHg2Pt
_chemical_formula_sum 'Cd1 Hg2 Pt1'
_symmetry_space_group_name_H-M 'P 4 m m'
_symmetry_Int_Tables_number 99
_cell_length_a 3.061
_cell_length_b 3.061
_cell_length_c 8.915
_cell_angle_alpha 90.00
_cell_angle_beta 90.00
_cell_angle_gamma 90.00
loop_
_symmetry_equiv_pos_as_xyz
'x,y,z'
'-y,x,z'
'-x,-y,z'
'y,-x,z'
'-x,y,z'
'y,x,z'
'x,-y,z'
'-y,-x,z'
loop_
_atom_site_label
_atom_site_fract_x
_atom_site_fract_y
_atom_site_fract_z
Cd1 0.000 0.000 0.000
Hg1 0.000 0.000 0.566
Hg2 0.500 0.500 0.276
Pt1 0.500 0.500 0.793
```